VASP calculation (PBE) on Pr2NdTm6 after structural relaxation.

POSCAR file:
```
Pr2NdTm6
1.0
-3.810 -5.346 -0.115
2.701 -3.439 -8.478
5.585 -5.788 5.129
Pr Nd Tm
4 2 12
direct
0.126 0.615 0.671
0.374 0.329 0.385
0.874 0.385 0.329
0.626 0.671 0.615
0.250 0.120 0.880
0.750 0.880 0.120
0.499 0.657 0.278
0.001 0.722 0.343
0.501 0.343 0.722
0.999 0.278 0.657
0.737 0.056 0.462
0.763 0.538 0.944
0.263 0.944 0.538
0.237 0.462 0.056
0.317 0.781 0.955
0.183 0.045 0.219
0.683 0.219 0.045
0.817 0.955 0.781
```

- Formation energy: 0.10 eV/atom
- Excess energy over the best structure of this formula in the dataset: 27 meV per atom



VASP calculation (PBE) on Pr2NdTm5 after structural relaxation.

POSCAR file:
```
Pr2NdTm5
1.0
9.096 0.000 -3.891
-1.017 5.962 -2.378
-0.794 -1.770 10.722
Pr Nd Tm
4 2 10
direct
0.178 0.459 0.847
0.670 0.959 0.847
0.822 0.541 0.153
0.330 0.041 0.153
0.000 0.000 0.500
0.500 0.500 0.500
0.488 0.444 0.800
0.942 0.750 0.000
0.058 0.250 0.000
0.895 0.632 0.609
0.105 0.368 0.391
0.715 0.132 0.609
0.285 0.868 0.391
0.512 0.556 0.200
0.312 0.944 0.800
0.688 0.056 0.200
```

- Formation energy: 0.19 eV/atom
- Excess energy over the best structure of this formula in the dataset: 33 meV per atom



VASP calculation (PBE) on Pr3Nd4Tm2 after structural relaxation.

POSCAR file:
```
Pr3Nd4Tm2
1.0
3.642 0.000 0.000
-1.821 3.154 0.000
0.000 0.000 27.265
Pr Nd Tm
3 4 2
direct
0.000 0.000 0.983
0.000 0.000 0.319
0.667 0.333 0.656
0.000 0.000 0.544
0.667 0.333 0.434
0.667 0.333 0.211
0.000 0.000 0.770
0.667 0.333 0.087
0.667 0.333 0.874
```

- Formation energy: 0.08 eV/atom
- Excess energy over the best structure of this formula in the dataset: 0 meV per atom



VASP calculation (PBE) on Pr6Nd8Tm after structural relaxation.

POSCAR file:
```
Pr6Nd8Tm
1.0
9.349 0.000 0.000
4.675 8.097 0.000
4.675 2.699 7.078
Pr Nd Tm
6 8 1
direct
0.461 0.903 0.875
0.097 0.239 0.125
0.239 0.539 0.125
0.761 0.461 0.875
0.903 0.761 0.875
0.539 0.097 0.125
0.247 0.284 0.582
0.716 0.113 0.418
0.113 0.753 0.418
0.578 0.578 0.267
0.422 0.422 0.733
0.887 0.247 0.582
0.284 0.887 0.582
0.753 0.716 0.418
0.000 0.000 0.000
```

- Formation energy: 0.11 eV/atom



Q: What is the formation energy in the first record?
A: 0.10 eV/atom



Q: formation energy of number 2 (Pr2NdTm5)?
A: 0.19 eV/atom



Q: What is the formula in the first record?
A: Pr2NdTm6